# 1
Compound: YTm2Cd
Source: the Alexandria database
Functional: GGA-PBE
Structure: optimized geometry

a = 3.5554 Å, b = 3.5554 Å, c = 9.0030 Å
α = 90.00°, β = 90.00°, γ = 90.00°
Closest atoms and distances in Å follow each position.
Atoms (fractional coordinates):
Tm 0.0000 0.0000 0.7747  4 Cd 3.23, 4 Y 3.53, 4 Tm 3.56
Tm 0.0000 0.0000 0.2253  4 Cd 3.23, 4 Y 3.53, 4 Tm 3.56
Cd 0.5000 0.5000 0.0000  8 Tm 3.23, 4 Cd 3.56
Y 0.5000 0.5000 0.5000  8 Tm 3.53, 4 Y 3.56

Calculated values
Energy relative to the elements in eV per atom: -0.1448
Energy above the lowest structure with this stoichiometry in eV per atom: 0.014
DOS(E_F) in states/eV/cell: 4.77



# 2
Compound: Cs2Pu2ScSe6
Source: the Alexandria database
Functional: GGA-PBE
Structure: optimized geometry

a = 7.1571 Å, b = 7.1571 Å, c = 8.8705 Å
α = 97.83°, β = 97.83°, γ = 119.78°
Closest atoms and distances in Å follow each position.
Atoms (fractional coordinates):
Pu 0.6667 0.3333 0.5000  6 Se 2.86-2.87
Pu 0.3333 0.6667 0.5000  6 Se 2.86-2.87
Cs 0.8323 0.1677 0.0000  6 Se 3.62-3.68
Cs 0.1677 0.8323 0.0000  6 Se 3.62-3.68
Se 0.7374 0.7374 0.6775  1 Sc 2.77, 2 Pu 2.86
Se 0.6166 0.9391 0.3215  1 Sc 2.77, 2 Pu 2.87
Se 0.2626 0.2626 0.3225  1 Sc 2.77, 2 Pu 2.86
Se 0.3834 0.0609 0.6785  1 Sc 2.77, 2 Pu 2.87
Se 0.0609 0.3834 0.6785  1 Sc 2.77, 2 Pu 2.87
Se 0.9391 0.6166 0.3215  1 Sc 2.77, 2 Pu 2.87
Sc 0.0000 0.0000 0.5000  6 Se 2.77

Calculated values
Energy relative to the elements, uncorrected in kJ per mole of atoms: -142.4
DOS(E_F) in states/eV/cell: 19.78



# 3
Compound: Ba3HN
Source: the Alexandria database
Functional: GGA-PBE
Structure: optimized geometry

a = 8.3099 Å, b = 4.6264 Å, c = 11.3598 Å
α = 90.00°, β = 117.95°, γ = 90.00°
Closest atoms and distances in Å follow each position.
Atoms (fractional coordinates):
Ba 0.7498 0.2500 0.9361  3 H 2.64-2.72, 1 N 2.68
Ba 0.6715 0.7500 0.6313  2 N 2.71, 1 H 2.79
Ba 0.3285 0.2500 0.3687  2 N 2.71, 1 H 2.79
Ba 0.7501 0.7500 0.3098  1 N 2.47
Ba 0.2499 0.2500 0.6902  1 N 2.47
Ba 0.2502 0.7500 0.0639  3 H 2.64-2.72, 1 N 2.68
H 0.8823 0.7500 0.9082  4 Ba 2.64-2.79
H 0.1177 0.2500 0.0918  4 Ba 2.64-2.79
N 0.4658 0.7500 0.3285  4 Ba 2.47-2.71
N 0.5342 0.2500 0.6715  4 Ba 2.47-2.71

Calculated values
Energy above the lowest structure with this stoichiometry in eV per atom: 0.000
DOS(E_F) in states/eV/cell: 3.85



# 4
Compound: Ac2NiI
Source: the Alexandria database
Functional: GGA-PBE
Structure: optimized geometry

a = 4.3649 Å, b = 4.3649 Å, c = 8.9696 Å
α = 89.98°, β = 104.09°, γ = 120.01°
Closest atoms and distances in Å follow each position.
Atoms (fractional coordinates):
Ac 0.4548 0.7273 0.1821  3 Ni 2.97
Ac 0.5452 0.2727 0.8178  3 Ni 2.97
I 0.0000 0.5000 0.5000  6 Ac 3.72
Ni 0.0000 0.0000 0.0000  6 Ac 2.97

Calculated values
Energy above the lowest structure with this stoichiometry in eV per atom: 0.000
Energy relative to the elements, uncorrected in kJ per mole of atoms: -69.2
DOS(E_F) in states/eV/cell: 3.03



# 5
Compound: Fe3N
Source: the Alexandria database
Functional: GGA-PBE
Structure: optimized geometry

a = 4.6597 Å, b = 4.6597 Å, c = 4.3176 Å
α = 90.00°, β = 90.00°, γ = 120.00°
Closest atoms and distances in Å follow each position.
Atoms (fractional coordinates):
N 0.6667 0.3333 0.2500  6 Fe 1.90
N 0.3333 0.6667 0.7500  6 Fe 1.90
Fe 0.3266 0.0000 0.0000  2 N 1.90
Fe 0.0000 0.6734 0.5000  2 N 1.90
Fe 0.0000 0.3266 0.0000  2 N 1.90
Fe 0.3266 0.3266 0.5000  2 N 1.90
Fe 0.6734 0.6734 0.0000  2 N 1.90
Fe 0.6734 0.0000 0.5000  2 N 1.90

Calculated values
Energy relative to the elements, uncorrected in kJ per mole of atoms: -7.0
DOS(E_F) in states/eV/cell: 6.30



# 6
Compound: BaAl5Ag4
Source: the Alexandria database
Functional: GGA-PBE
Structure: optimized geometry

a = 7.2221 Å, b = 7.7212 Å, c = 7.5746 Å
α = 90.00°, β = 90.00°, γ = 90.00°
Closest atoms and distances in Å follow each position.
Atoms (fractional coordinates):
Al 0.2764 0.1770 0.3169  3 Ag 2.66-2.74, 3 Al 2.73-2.84
Al 0.7236 0.3230 0.8169  3 Ag 2.66-2.74, 3 Al 2.73-2.84
Al 0.7236 0.3230 0.1831  3 Ag 2.66-2.74, 3 Al 2.73-2.84
Al 0.2764 0.8230 0.3169  3 Ag 2.66-2.74, 3 Al 2.73-2.84
Al 0.0091 0.5000 0.0000  4 Al 2.84, 2 Ag 2.87
Al 0.2764 0.1770 0.6831  3 Ag 2.66-2.74, 3 Al 2.73-2.84
Al 0.2764 0.8230 0.6831  3 Ag 2.66-2.74, 3 Al 2.73-2.84
Al 0.7236 0.6770 0.1831  3 Ag 2.66-2.74, 3 Al 2.73-2.84
Al 0.9909 0.0000 0.5000  4 Al 2.84, 2 Ag 2.87
Al 0.7236 0.6770 0.8169  3 Ag 2.66-2.74, 3 Al 2.73-2.84
Ag 0.5499 0.6773 0.5000  4 Al 2.66-2.71, 3 Ag 2.74-2.95
Ag 0.5499 0.3227 0.5000  4 Al 2.66-2.71, 3 Ag 2.74-2.95
Ag 0.4501 0.1773 0.0000  4 Al 2.66-2.71, 3 Ag 2.74-2.95
Ag 0.3539 0.5000 0.8120  5 Al 2.74-3.00, 3 Ag 2.85-2.95
Ag 0.4501 0.8227 0.0000  4 Al 2.66-2.71, 3 Ag 2.74-2.95
Ag 0.6461 0.0000 0.3120  5 Al 2.74-3.00, 3 Ag 2.85-2.95
Ag 0.6461 0.0000 0.6880  5 Al 2.74-3.00, 3 Ag 2.85-2.95
Ag 0.3539 0.5000 0.1880  5 Al 2.74-3.00, 3 Ag 2.85-2.95
Ba 0.9910 0.0000 0.0000  4 Ag 3.43-3.59, 10 Al 3.45-3.79
Ba 0.0090 0.5000 0.5000  4 Ag 3.43-3.59, 10 Al 3.45-3.79

Calculated values
Energy relative to the elements in eV per atom: -0.0321
DOS(E_F) in states/eV/cell: 7.46



# 7
Compound: RbLiCu2F8
Source: the Alexandria database
Functional: GGA-PBE
Structure: optimized geometry

a = 5.3932 Å, b = 5.3932 Å, c = 7.4362 Å
α = 68.74°, β = 68.74°, γ = 60.00°
Closest atoms and distances in Å follow each position.
Atoms (fractional coordinates):
F 0.3573 0.6764 0.8712  2 Cu 2.02-2.11, 1 Li 2.05
F 0.6427 0.3236 0.1288  2 Cu 2.02-2.11, 1 Li 2.05
F 0.2129 0.2129 0.3612  1 Cu 1.90
F 0.0951 0.3573 0.8712  2 Cu 2.02-2.11, 1 Li 2.05
F 0.7871 0.7871 0.6388  1 Cu 1.90
F 0.6764 0.0951 0.8712  2 Cu 2.02-2.11, 1 Li 2.05
F 0.9049 0.6427 0.1288  2 Cu 2.02-2.11, 1 Li 2.05
F 0.3236 0.9049 0.1288  2 Cu 2.02-2.11, 1 Li 2.05
Rb 0.5000 0.5000 0.5000  12 F 2.96-3.25
Li 0.0000 0.0000 0.0000  6 F 2.05
Cu 0.3065 0.3065 0.0806  7 F 1.90-2.11
Cu 0.6935 0.6935 0.9194  7 F 1.90-2.11

Calculated values
Energy relative to the elements, uncorrected in kJ per mole of atoms: -167.8
DOS(E_F) in states/eV/cell: 8.73



# 8
Compound: RbNaZn
Source: the Alexandria database
Functional: GGA-PBE
Structure: optimized geometry

a = 4.1994 Å, b = 4.1994 Å, c = 7.3937 Å
α = 106.50°, β = 106.50°, γ = 90.00°
Closest atoms and distances in Å follow each position.
Atoms (fractional coordinates):
Na 0.2892 0.2892 0.5784  4 Zn 3.23
Rb 0.0146 0.0146 0.0292  1 Na 3.72, 4 Zn 3.86
Zn 0.6962 0.6962 0.3925  4 Na 3.23

Calculated values
Energy relative to the elements in eV per atom: 0.1415
Energy above the lowest structure with this stoichiometry in eV per atom: 0.077
DOS(E_F) in states/eV/cell: 1.34



# 9
Compound: PuPaN3
Source: the Alexandria database
Functional: GGA-PBE
Structure: optimized geometry

a = 6.6684 Å, b = 6.2411 Å, c = 7.2689 Å
α = 90.00°, β = 98.03°, γ = 90.00°
Closest atoms and distances in Å follow each position.
Atoms (fractional coordinates):
Pa 0.3575 0.3133 0.8270  5 N 2.20-2.42
Pa 0.6425 0.6867 0.1730  5 N 2.20-2.42
Pa 0.6425 0.8133 0.6730  5 N 2.20-2.42
Pa 0.3575 0.1867 0.3270  5 N 2.20-2.42
N 0.0130 0.4383 0.8211  3 Pu 2.25-2.34, 1 Pa 2.42
N 0.9870 0.9383 0.6789  3 Pu 2.25-2.34, 1 Pa 2.42
N 0.7787 0.8844 0.9720  2 Pa 2.20-2.28, 2 Pu 2.29-2.37
N 0.7787 0.6156 0.4720  2 Pa 2.20-2.28, 2 Pu 2.29-2.37
N 0.0130 0.0617 0.3211  3 Pu 2.25-2.34, 1 Pa 2.42
N 0.5773 0.3382 0.1363  2 Pa 2.23-2.35, 1 Pu 2.43
N 0.9870 0.5617 0.1789  3 Pu 2.25-2.34, 1 Pa 2.42
N 0.5773 0.1618 0.6363  2 Pa 2.23-2.35, 1 Pu 2.43
N 0.4227 0.6618 0.8637  2 Pa 2.23-2.35, 1 Pu 2.43
N 0.2213 0.3844 0.5280  2 Pa 2.20-2.28, 2 Pu 2.29-2.37
N 0.4227 0.8382 0.3637  2 Pa 2.23-2.35, 1 Pu 2.43
N 0.2213 0.1156 0.0280  2 Pa 2.20-2.28, 2 Pu 2.29-2.37
Pu 0.8994 0.2366 0.0419  6 N 2.25-2.43
Pu 0.8994 0.2634 0.5419  6 N 2.25-2.43
Pu 0.1006 0.7366 0.4581  6 N 2.25-2.43
Pu 0.1006 0.7634 0.9581  6 N 2.25-2.43

Calculated values
Energy relative to the elements, uncorrected in kJ per mole of atoms: -125.0
DOS(E_F) in states/eV/cell: 22.32



# 10
Compound: Tm2BeAlCu6
Source: the Alexandria database
Functional: GGA-PBE
Structure: optimized geometry

a = 5.7734 Å, b = 6.4917 Å, c = 6.5067 Å
α = 52.68°, β = 63.79°, γ = 89.91°
Closest atoms and distances in Å follow each position.
Atoms (fractional coordinates):
Cu 0.2373 0.7557 0.0894  1 Be 2.08
Cu 0.3268 0.2411 0.9139  1 Be 2.08
Cu 0.2432 0.3220 0.5188  1 Be 2.08
Cu 0.7627 0.2443 0.9106  1 Be 2.08
Cu 0.6732 0.7589 0.0861  1 Be 2.08
Cu 0.7568 0.6780 0.4812  1 Be 2.08
Al 0.5000 0.5000 0.0000  6 Cu 2.40-2.41
Be 0.0000 0.0000 0.0000  6 Cu 2.08
Tm 0.2209 0.7800 0.5571  11 Cu 3.05-3.41
Tm 0.7791 0.2200 0.4429  11 Cu 3.05-3.41

Calculated values
Energy relative to the elements in eV per atom: -0.1241
DOS(E_F) in states/eV/cell: 4.73



# 11
Compound: Ce7Tl3Sn
Source: the Alexandria database
Functional: GGA-PBE
Structure: optimized geometry

a = 5.8648 Å, b = 8.3001 Å, c = 8.3001 Å
α = 84.51°, β = 114.51°, γ = 114.51°
Closest atoms and distances in Å follow each position.
Atoms (fractional coordinates):
Ce 0.2821 0.5678 0.0681  2 Ce 2.75-3.07
Ce 0.7179 0.4322 0.9319  2 Ce 2.75-3.07
Ce 0.8003 0.8030 0.8030  2 Ce 3.07, 1 Sn 3.10, 3 Tl 3.21-3.40
Ce 0.2821 0.0681 0.5678  2 Ce 2.75-3.07
Ce 0.7179 0.9319 0.4322  2 Ce 2.75-3.07
Ce 0.0000 0.5000 0.5000  2 Sn 2.93, 2 Tl 3.09
Ce 0.1997 0.1970 0.1970  2 Ce 3.07, 1 Sn 3.10, 3 Tl 3.21-3.40
Tl 0.0000 0.2236 0.7764  5 Ce 3.09-3.29
Tl 0.0000 0.7764 0.2236  5 Ce 3.09-3.29
Tl 0.5000 0.0000 0.0000  8 Ce 3.35-3.71
Sn 0.5000 0.5000 0.5000  4 Ce 2.93-3.10

Calculated values
Energy relative to the elements in eV per atom: -0.1060
DOS(E_F) in states/eV/cell: 36.12



# 12
Compound: La2FeGeP
Source: the Alexandria database
Functional: GGA-PBE
Structure: optimized geometry

a = 5.6210 Å, b = 4.2257 Å, c = 5.6210 Å
α = 90.00°, β = 90.00°, γ = 90.00°
Closest atoms and distances in Å follow each position.
Atoms (fractional coordinates):
P 0.0000 0.0000 0.0000  2 Fe 2.11
La 0.5000 0.0000 0.0000  2 P 2.81
La 0.0000 0.0000 0.5000  2 P 2.81
Ge 0.5000 0.5000 0.5000  8 La 3.52
Fe 0.0000 0.5000 0.0000  2 P 2.11

Calculated values
Energy relative to the elements in eV per atom: -0.4581
DOS(E_F) in states/eV/cell: 6.40



# 13
Compound: MgAl3Ag
Source: the Alexandria database
Functional: GGA-PBE
Structure: optimized geometry

a = 5.1585 Å, b = 5.3662 Å, c = 7.0593 Å
α = 90.00°, β = 109.89°, γ = 90.00°
Closest atoms and distances in Å follow each position.
Atoms (fractional coordinates):
Ag 0.8926 0.4476 0.8216  5 Al 2.65-2.74, 2 Mg 2.87-2.89
Ag 0.1417 0.9476 0.7390  5 Al 2.65-2.74, 2 Mg 2.87-2.89
Al 0.1758 0.9476 0.3722  1 Ag 2.65, 4 Al 2.72-2.92
Al 0.7087 0.1945 0.4689  5 Al 2.65-2.92, 2 Ag 2.71-2.74
Al 0.8585 0.4476 0.1884  1 Ag 2.65, 4 Al 2.72-2.92
Al 0.7087 0.7008 0.4689  5 Al 2.65-2.92, 2 Ag 2.71-2.74
Al 0.3256 0.2008 0.0917  5 Al 2.65-2.92, 2 Ag 2.71-2.74
Al 0.3256 0.6945 0.0917  5 Al 2.65-2.92, 2 Ag 2.71-2.74
Mg 0.3012 0.4476 0.6284  4 Ag 2.87-2.99, 7 Al 3.02-3.18
Mg 0.7331 0.9476 0.9322  4 Ag 2.87-2.99, 7 Al 3.02-3.18

Calculated values
Energy relative to the elements in eV per atom: -0.0390
Energy above the lowest structure with this stoichiometry in eV per atom: 0.000
DOS(E_F) in states/eV/cell: 2.36



# 14
Compound: ScAu
Source: the Alexandria database
Functional: GGA-PBE
Structure: optimized geometry

a = 4.3229 Å, b = 4.3229 Å, c = 7.1282 Å
α = 90.00°, β = 90.00°, γ = 120.00°
Closest atoms and distances in Å follow each position.
Atoms (fractional coordinates):
Sc 0.3333 0.6667 0.3720  4 Au 2.65-2.66
Sc 0.6667 0.3333 0.8720  4 Au 2.65-2.66
Au 0.6667 0.3333 0.4990  4 Sc 2.65-2.66
Au 0.3333 0.6667 0.9990  4 Sc 2.65-2.66

Calculated values
Energy relative to the elements in eV per atom: -0.1246
DOS(E_F) in states/eV/cell: 1.49



# 15
Compound: Sr2TlInH
Source: the Alexandria database
Functional: GGA-PBE
Structure: optimized geometry

a = 5.5453 Å, b = 5.5453 Å, c = 4.4438 Å
α = 90.00°, β = 90.00°, γ = 90.00°
Closest atoms and distances in Å follow each position.
Atoms (fractional coordinates):
In 0.0000 0.0000 0.5000  2 H 2.22
Sr 0.0000 0.5000 0.0000  2 H 2.77
Sr 0.5000 0.0000 0.0000  2 H 2.77
H 0.0000 0.0000 0.0000  2 In 2.22
Tl 0.5000 0.5000 0.5000  8 Sr 3.55, 4 In 3.92

Calculated values
Energy above the lowest structure with this stoichiometry in eV per atom: 0.000
DOS(E_F) in states/eV/cell: 1.13



# 16
Compound: Ba4Te2PI
Source: the Alexandria database
Functional: GGA-PBE
Structure: optimized geometry

a = 4.9248 Å, b = 8.4848 Å, c = 8.6324 Å
α = 71.18°, β = 90.00°, γ = 90.00°
Closest atoms and distances in Å follow each position.
Atoms (fractional coordinates):
Ba 0.0000 0.7458 0.7213  1 P 3.25, 2 Te 3.42, 2 I 3.60
Ba 0.5000 0.7351 0.2737  2 P 3.37, 3 Te 3.42-3.64, 1 I 3.55
Ba 0.5000 0.2649 0.7263  2 P 3.37, 3 Te 3.42-3.64, 1 I 3.55
Ba 0.0000 0.2542 0.2787  1 P 3.25, 2 Te 3.42, 2 I 3.60
Te 0.5000 0.0000 0.5000  6 Ba 3.42
Te 0.0000 0.0000 0.0000  6 Ba 3.64-3.71
P 0.0000 0.5000 0.5000  6 Ba 3.25-3.37
I 0.5000 0.5000 0.0000  6 Ba 3.55-3.60

Calculated values
Energy relative to the elements, uncorrected in kJ per mole of atoms: -149.2



# 17
Compound: Y2Er3Se6
Source: the Alexandria database
Functional: GGA-PBE
Structure: optimized geometry

a = 7.0130 Å, b = 6.9883 Å, c = 6.9943 Å
α = 80.37°, β = 70.52°, γ = 59.88°
Closest atoms and distances in Å follow each position.
Atoms (fractional coordinates):
Se 0.5833 0.3281 0.2491  3 Er 2.84-2.89, 2 Y 2.88-2.89
Se 0.2565 0.0000 0.2519  3 Er 2.83-2.91, 2 Y 2.85
Se 0.9114 0.6719 0.2491  3 Er 2.84-2.89, 2 Y 2.88-2.89
Se 0.7435 0.0000 0.7481  3 Er 2.83-2.91, 2 Y 2.85
Se 0.0886 0.3281 0.7509  3 Er 2.84-2.89, 2 Y 2.88-2.89
Se 0.4167 0.6719 0.7509  3 Er 2.84-2.89, 2 Y 2.88-2.89
Y 0.1649 0.6702 0.5000  6 Se 2.85-2.89
Y 0.8351 0.3298 0.5000  6 Se 2.85-2.89
Er 0.3342 0.3316 0.0000  6 Se 2.83-2.89
Er 0.0000 0.0000 0.0000  6 Se 2.84-2.91
Er 0.6658 0.6684 0.0000  6 Se 2.83-2.89

Calculated values
Energy above the lowest structure with this stoichiometry in eV per atom: 0.000
Energy relative to the elements, uncorrected in kJ per mole of atoms: -178.5
DOS(E_F) in states/eV/cell: 4.34



# 18
Compound: ZrCu2Au
Source: the Alexandria database
Functional: GGA-PBE
Structure: optimized geometry

a = 4.5161 Å, b = 2.8187 Å, c = 5.2605 Å
α = 90.05°, β = 90.00°, γ = 90.00°
Closest atoms and distances in Å follow each position.
Atoms (fractional coordinates):
Cu 0.0000 0.7492 0.0099  4 Cu 2.53-2.82, 2 Au 2.64
Cu 0.0000 0.7508 0.4901  4 Cu 2.53-2.82, 2 Au 2.64
Au 0.5000 0.7500 0.7500  4 Cu 2.64, 2 Au 2.82
Zr 0.5000 0.2500 0.2500  2 Zr 2.82, 8 Cu 2.95, 4 Au 2.98-2.99

Calculated values
Energy relative to the elements in eV per atom: -0.1049
Energy above the lowest structure with this stoichiometry in eV per atom: 0.156
DOS(E_F) in states/eV/cell: 2.87



| no. | uncorrected energy (Ha/atom) | volume (Å³/cell) |
| --- | --- | --- |
| 1 | -0.15528 | 113.81 |
| 2 | -0.24669 | 379.57 |
| 3 | -0.14094 | 385.78 |
| 4 | -0.16921 | 142.02 |
| 5 | -0.31240 | 81.19 |
| 6 | -0.11893 | 422.39 |
| 7 | -0.14366 | 170.10 |
| 8 | -0.03841 | 119.41 |
| 9 | -0.40630 | 299.56 |
| 10 | -0.15519 | 161.46 |
| 11 | -0.17975 | 333.06 |
| 12 | -0.22517 | 133.52 |
| 13 | -0.11663 | 183.76 |
| 14 | -0.18114 | 115.36 |
| 15 | -0.09889 | 136.65 |
| 16 | -0.15299 | 341.43 |
| 17 | -0.22676 | 279.54 |
| 18 | -0.18777 | 66.96 |